Density functional theory data (PBE with a Hubbard U) for an optimized crystal structure of Rb2MnAuF6.

## Properties
* density of states at the Fermi level: 0.0000 states/eV/atom
* DFT total energy: -92.72 eV per cell

CIF file:
```
data_Rb2MnAuF6
_cell_length_a 6.672
_cell_length_b 6.672
_cell_length_c 8.463
_cell_angle_alpha 90.00
_cell_angle_beta 90.00
_cell_angle_gamma 90.00
_space_group_name_H-M_alt 'I 4/m m m'
_space_group_IT_number 139
_space_group_name_Hall '-I 4 2'
loop_
_atom_site_label
_atom_site_fract_x
_atom_site_fract_y
_atom_site_fract_z
Rb1 0.000 0.500 0.250
Mn1 0.000 0.000 0.000
Au1 0.000 0.000 0.500
F1 0.000 0.000 0.257
F2 0.200 0.200 0.000
```